Compound: MnCuPO2
Source: the Alexandria database
Functional: GGA+U
Structure: relaxed

abc: 3.6042 3.6042 5.3432
angles: 90.00 90.00 90.00
Fractional coordinates of all 5 atoms:
Mn: 0.0000 0.0000 0.0000
O: 0.0000 0.5000 0.0000
O: 0.5000 0.0000 0.0000
P: 0.0000 0.0000 0.5000
Cu: 0.5000 0.5000 0.5000

Output
Space-group type = P4/mmm (123)
E above lowest polymorph = 0.000 eV per formula unit